# GGA-PBE NbSi3Cl, optimized geometry
data_NbSi3Cl
_chemical_formula_sum 'Nb1 Si3 Cl1'
_space_group_name_H-M_alt 'P 1'
_space_group_IT_number 1
_space_group_name_Hall 'P 1'
_cell_length_a 4.9362
_cell_length_b 4.9362
_cell_length_c 4.9362
_cell_angle_alpha 90.00
_cell_angle_beta 90.00
_cell_angle_gamma 90.00
loop_
_atom_site_label
_atom_site_type_symbol
_atom_site_fract_x
_atom_site_fract_y
_atom_site_fract_z
_atom_site_occupancy
Nb1 Nb 0.0000 0.0000 0.0000 1
Si1 Si 0.0000 0.5000 0.0000 1
Si2 Si 0.0000 0.0000 0.5000 1
Si3 Si 0.5000 0.0000 0.0000 1
Cl1 Cl 0.5000 0.5000 0.5000 1
# density of states at the Fermi level: 4.806 states/eV/f.u.
# energy relative to the lowest polymorph listed for this composition: 0.0 meV per atom
# calculated total energy: -5.0322 eV/atom
# energy relative to the elements, uncorrected: 0.6048 eV/atom
# V: 120.3 Å³/cell